No. 1
Density functional theory data (GGA-PBE) for MgRhBr2O after structural relaxation.

Results
For the uncorrected formation energy, the calculation gives 0.678 eV/atom. The density is 3.7 g/cm3.

Structure (POSCAR):
```
MgRhBr2O
1.0
5.066 0.000 0.000
0.000 5.066 0.000
0.000 0.000 5.254
Mg Rh Br O
1 1 2 1
direct
0.000 0.000 0.000 Mg
0.000 0.000 0.500 Rh
0.000 0.500 0.000 Br
0.500 0.000 0.000 Br
0.500 0.500 0.500 O
```

No. 2
Density functional theory data (GGA-PBE) for MgSe2BrO after structural relaxation.

Results
The calculation puts the energy above the most stable polymorph in this dataset at 3.87 eV/f.u. For the uncorrected formation energy, the calculation gives 0.660 eV/atom. The density is 3.5 g/cm3.

Structure (POSCAR):
```
MgSe2BrO
1.0
5.125 0.000 0.000
0.000 5.125 0.000
0.000 0.000 4.971
Mg Se Br O
1 2 1 1
direct
0.000 0.000 0.000 Mg
0.000 0.500 0.000 Se
0.500 0.000 0.000 Se
0.000 0.000 0.500 Br
0.500 0.500 0.500 O
```

No. 3
Density functional theory data (GGA-PBE) for MgSe2BrO after structural relaxation.

Results
The calculation puts the energy above the most stable polymorph in this dataset at 0.00 eV/f.u. For the uncorrected formation energy, the calculation gives -0.113 eV/atom. The density is 4.4 g/cm3.

Structure (POSCAR):
```
MgSe2BrO
1.0
4.143 0.000 0.000
0.000 4.143 0.000
0.000 0.000 6.134
Mg Se Br O
1 2 1 1
direct
0.000 0.000 0.000 Mg
0.000 0.500 0.500 Se
0.500 0.000 0.500 Se
0.500 0.500 0.000 Br
0.500 0.500 0.500 O
```

No. 4
Density functional theory data (GGA-PBE) for MgTa2Te4Br10O after structural relaxation.

Results
The calculation puts the energy above the most stable polymorph in this dataset at 0.00 eV/f.u. For the uncorrected formation energy, the calculation gives -0.882 eV/atom. The density is 3.8 g/cm3.

Structure (POSCAR):
```
MgTa2Te4Br10O
1.0
7.823 0.000 0.000
-1.369 9.258 0.000
-0.361 -3.048 10.209
Mg Ta Te Br O
1 2 4 10 1
direct
0.000 0.000 0.000 Mg
0.063 0.386 0.112 Ta
0.937 0.613 0.888 Ta
0.369 0.905 0.329 Te
0.449 0.198 0.498 Te
0.549 0.801 0.502 Te
0.629 0.093 0.671 Te
0.066 0.476 0.693 Br
0.136 0.181 0.235 Br
0.189 0.207 0.911 Br
0.228 0.808 0.965 Br
0.363 0.532 0.181 Br
0.637 0.467 0.819 Br
0.772 0.192 0.034 Br
0.811 0.793 0.088 Br
0.865 0.819 0.764 Br
0.934 0.524 0.307 Br
0.000 0.500 0.000 O
```

No. 5
Density functional theory data (GGA-PBE) for MgTa2Te4Br10O after structural relaxation.

Results
The calculation puts the energy above the most stable polymorph in this dataset at 0.21 eV/f.u. For the uncorrected formation energy, the calculation gives -0.871 eV/atom. The density is 3.8 g/cm3.

Structure (POSCAR):
```
MgTa2Te4Br10O
1.0
8.813 0.000 0.000
3.039 8.366 0.000
0.875 0.757 10.137
Mg Ta Te Br O
1 2 4 10 1
direct
0.000 0.000 0.000 Mg
0.186 0.735 0.766 Ta
0.465 0.794 0.471 Ta
0.048 0.279 0.103 Te
0.673 0.173 0.107 Te
0.735 0.460 0.037 Te
0.927 0.088 0.292 Te
0.017 0.643 0.638 Br
0.245 0.077 0.407 Br
0.315 0.856 0.938 Br
0.317 0.676 0.337 Br
0.369 0.464 0.837 Br
0.574 0.954 0.603 Br
0.648 0.829 0.271 Br
0.660 0.531 0.543 Br
0.983 0.034 0.742 Br
0.983 0.716 0.988 Br
0.318 0.774 0.627 O
```

No. 6
Density functional theory data (GGA-PBE) for MgTa2Te4Br10O after structural relaxation.

Results
The calculation puts the energy above the most stable polymorph in this dataset at 0.59 eV/f.u. For the uncorrected formation energy, the calculation gives -0.850 eV/atom. The density is 4.2 g/cm3.

Structure (POSCAR):
```
MgTa2Te4Br10O
1.0
7.409 0.000 0.000
2.355 7.886 0.000
0.764 0.336 11.659
Mg Ta Te Br O
1 2 4 10 1
direct
0.000 0.000 0.000 Mg
0.598 0.673 0.400 Ta
0.641 0.844 0.091 Ta
0.087 0.058 0.668 Te
0.201 0.453 0.796 Te
0.326 0.255 0.603 Te
0.918 0.293 0.842 Te
0.006 0.689 0.072 Br
0.301 0.940 0.426 Br
0.302 0.051 0.082 Br
0.378 0.523 0.331 Br
0.546 0.572 0.606 Br
0.552 0.617 0.996 Br
0.723 0.965 0.873 Br
0.738 0.110 0.158 Br
0.789 0.853 0.467 Br
0.879 0.432 0.359 Br
0.618 0.768 0.239 O
```

No. 7
Density functional theory data (GGA-PBE) for MgOsBr2 after structural relaxation.

Results
The calculation puts the energy above the most stable polymorph in this dataset at 1.21 eV/f.u. For the uncorrected formation energy, the calculation gives 0.300 eV/atom. The density is 6.8 g/cm3.

Structure (POSCAR):
```
MgOsBr2
1.0
1.631 -2.882 0.000
1.631 2.882 0.000
0.000 0.000 9.742
Mg Os Br
1 1 2
direct
0.000 0.000 0.000 Mg
0.500 0.500 0.769 Os
0.000 0.000 0.577 Br
0.500 0.500 0.199 Br
```

No. 8
Density functional theory data (GGA-PBE) for Mg2OsBr after structural relaxation.

Results
The calculation puts the energy above the most stable polymorph in this dataset at 0.00 eV/f.u. For the uncorrected formation energy, the calculation gives -0.065 eV/atom. The density is 6.6 g/cm3.

Structure (POSCAR):
```
Mg2OsBr
1.0
3.310 0.000 0.000
0.000 3.111 0.000
-0.012 0.000 7.746
Mg Os Br
2 1 1
direct
0.001 0.000 0.206 Mg
0.999 0.000 0.794 Mg
0.500 0.500 0.000 Os
0.000 0.500 0.500 Br
```

No. 9
Density functional theory data (GGA-PBE) for MgOsBr2 after structural relaxation.

Results
The calculation puts the energy above the most stable polymorph in this dataset at 0.49 eV/f.u. For the uncorrected formation energy, the calculation gives 0.122 eV/atom. The density is 5.4 g/cm3.

Structure (POSCAR):
```
MgOsBr2
1.0
8.485 -1.614 0.000
8.485 1.614 0.000
-1.079 0.000 4.219
Mg Os Br
1 1 2
direct
0.000 0.000 0.000 Mg
0.500 0.500 0.500 Os
0.355 0.355 0.367 Br
0.645 0.645 0.633 Br
```

No. 10
Density functional theory data (GGA-PBE) for MgOsBr2 after structural relaxation.

Results
The calculation puts the energy above the most stable polymorph in this dataset at 0.99 eV/f.u. For the uncorrected formation energy, the calculation gives 0.247 eV/atom. The density is 6.2 g/cm3.

Structure (POSCAR):
```
MgOsBr2
1.0
8.487 -1.599 0.000
8.487 1.599 0.000
-0.819 0.000 3.706
Mg Os Br
1 1 2
direct
0.000 0.000 0.000 Mg
0.364 0.364 0.869 Os
0.584 0.584 0.580 Br
0.824 0.824 0.329 Br
```

No. 11
Density functional theory data (GGA-PBE) for Mg2OsBr after structural relaxation.

Results
The calculation puts the energy above the most stable polymorph in this dataset at 1.51 eV/f.u. For the uncorrected formation energy, the calculation gives 0.313 eV/atom. The density is 6.8 g/cm3.

Structure (POSCAR):
```
Mg2OsBr
1.0
2.975 0.000 0.000
0.000 4.650 0.000
0.000 0.000 5.647
Mg Os Br
2 1 1
direct
0.000 0.000 0.000 Mg
0.500 0.500 0.372 Mg
0.000 0.000 0.469 Os
0.500 0.500 0.880 Br
```

No. 12
Density functional theory data (GGA-PBE) for MgOsBr2 after structural relaxation.

Results
The calculation puts the energy above the most stable polymorph in this dataset at 0.21 eV/f.u. For the uncorrected formation energy, the calculation gives 0.050 eV/atom. The density is 6.6 g/cm3.

Structure (POSCAR):
```
MgOsBr2
1.0
1.778 1.027 8.623
-1.778 1.027 8.623
0.000 -2.053 8.623
Mg Os Br
1 1 2
direct
0.000 0.000 0.000 Mg
0.751 0.751 0.751 Os
0.268 0.268 0.268 Br
0.468 0.468 0.468 Br
```

No. 13
Density functional theory data (GGA-PBE) for Mg2OsBr after structural relaxation.

Results
The calculation puts the energy above the most stable polymorph in this dataset at 2.48 eV/f.u. For the uncorrected formation energy, the calculation gives 0.555 eV/atom. The density is 7.3 g/cm3.

Structure (POSCAR):
```
Mg2OsBr
1.0
-2.095 2.095 4.128
2.095 -2.095 4.128
2.095 2.095 -4.128
Mg Os Br
2 1 1
direct
0.250 0.750 0.500 Mg
0.750 0.250 0.500 Mg
0.000 0.000 0.000 Os
0.500 0.500 0.000 Br
```

No. 14
Density functional theory data (GGA-PBE) for MgOsBr2 after structural relaxation.

Results
The calculation puts the energy above the most stable polymorph in this dataset at 3.12 eV/f.u. For the uncorrected formation energy, the calculation gives 0.778 eV/atom. The density is 7.9 g/cm3.

Structure (POSCAR):
```
MgOsBr2
1.0
0.000 3.402 3.402
3.402 0.000 3.402
3.402 3.402 0.000
Mg Os Br
1 1 2
direct
0.000 0.000 0.000 Mg
0.500 0.500 0.500 Os
0.250 0.250 0.250 Br
0.750 0.750 0.750 Br
```

No. 15
Density functional theory data (GGA-PBE) for Mg2OsBr after structural relaxation.

Results
The calculation puts the energy above the most stable polymorph in this dataset at 2.42 eV/f.u. For the uncorrected formation energy, the calculation gives 0.539 eV/atom. The density is 6.4 g/cm3.

Structure (POSCAR):
```
Mg2OsBr
1.0
1.626 -2.512 0.000
1.626 2.512 0.000
0.000 0.000 10.105
Mg Os Br
2 1 1
direct
0.000 0.000 0.000 Mg
0.500 0.500 0.261 Mg
0.500 0.500 0.796 Os
0.000 0.000 0.455 Br
```

No. 16
Density functional theory data (GGA-PBE) for MgOsBr2 after structural relaxation.

Results
The calculation puts the energy above the most stable polymorph in this dataset at 1.96 eV/f.u. For the uncorrected formation energy, the calculation gives 0.488 eV/atom. The density is 7.4 g/cm3.

Structure (POSCAR):
```
MgOsBr2
1.0
1.693 0.978 8.436
-1.693 0.978 8.436
0.000 -1.955 8.436
Mg Os Br
1 1 2
direct
0.000 0.000 0.000 Mg
0.500 0.500 0.500 Os
0.402 0.402 0.402 Br
0.598 0.598 0.598 Br
```

No. 17
Density functional theory data (GGA-PBE) for Mg2Os2Br after structural relaxation.

Results
The calculation puts the energy above the most stable polymorph in this dataset at 1.31 eV/f.u. For the uncorrected formation energy, the calculation gives 0.809 eV/atom. The density is 7.9 g/cm3.

Structure (POSCAR):
```
Mg2Os2Br
1.0
-2.664 2.664 3.775
2.664 -2.664 3.775
2.664 2.664 -3.775
Mg Os Br
2 2 1
direct
0.250 0.750 0.500 Mg
0.750 0.250 0.500 Mg
0.150 0.150 0.000 Os
0.850 0.850 0.000 Os
0.500 0.500 0.000 Br
```

No. 18
Density functional theory data (GGA-PBE) for MgOsBr2 after structural relaxation.

Results
The calculation puts the energy above the most stable polymorph in this dataset at 2.18 eV/f.u. For the uncorrected formation energy, the calculation gives 0.543 eV/atom. The density is 7.5 g/cm3.

Structure (POSCAR):
```
MgOsBr2
1.0
3.572 0.000 0.000
0.000 4.200 0.000
-0.377 0.000 5.515
Mg Os Br
1 1 2
direct
0.000 0.000 0.000 Mg
0.500 0.000 0.500 Os
0.311 0.500 0.732 Br
0.689 0.500 0.268 Br
```

No. 19
Density functional theory data (GGA-PBE) for Mg2OsBr after structural relaxation.

Results
The calculation puts the energy above the most stable polymorph in this dataset at 1.61 eV/f.u. For the uncorrected formation energy, the calculation gives 0.338 eV/atom. The density is 5.7 g/cm3.

Structure (POSCAR):
```
Mg2OsBr
1.0
3.560 0.000 0.000
0.000 3.560 0.000
0.000 0.000 7.378
Mg Os Br
2 1 1
direct
0.000 0.000 0.000 Mg
0.500 0.500 0.264 Mg
0.000 0.000 0.350 Os
0.500 0.500 0.820 Br
```

No. 20
Density functional theory data (GGA-PBE) for Mg2OsBr after structural relaxation.

Results
The calculation puts the energy above the most stable polymorph in this dataset at 1.05 eV/f.u. For the uncorrected formation energy, the calculation gives 0.198 eV/atom. The density is 7.3 g/cm3.

Structure (POSCAR):
```
Mg2OsBr
1.0
3.128 -3.806 0.000
3.128 3.806 0.000
0.000 0.000 3.040
Mg Os Br
2 1 1
direct
0.000 0.500 0.000 Mg
0.500 0.000 0.000 Mg
0.000 0.000 0.500 Os
0.500 0.500 0.500 Br
```